## one
Here is a geometry-optimized TlAsPS2 structure from Alexandria via LeMat-Bulk. Energies are from PBE.

Computed properties:
Fermi-level density of states, states/eV/cell: 5.1
M_tot, μB per formula unit: 0.21

Unit cell a=4.899 b=4.899 c=4.810 alpha=90.00 beta=90.00 gamma=90.00
Element x y z (fractional)
S 0.000 0.500 0.000
S 0.500 0.000 0.000
P 0.000 0.000 0.500
Tl 0.500 0.500 0.500
As 0.000 0.000 0.000

***

## two
Here is a geometry-optimized TlAsPS2 structure from Alexandria via LeMat-Bulk. Energies are from PBE.

Computed properties:
Fermi-level density of states, states/eV/cell: 5.9
M_tot, μB per formula unit: 0.01

Unit cell a=5.035 b=5.035 c=5.121 alpha=90.00 beta=90.00 gamma=90.00
Element x y z (fractional)
S 0.000 0.500 0.000
S 0.500 0.000 0.000
P 0.000 0.000 0.500
Tl 0.000 0.000 0.000
As 0.500 0.500 0.500

***

It is one that is most stable; the runner-up trails by 0.836 eV/atom.

***

## one
Here is a geometry-optimized TlAsP2S structure from Alexandria via LeMat-Bulk. Energies are from PBE.

Computed properties:
Fermi-level density of states, states/eV/cell: 4.6
M_tot, μB per formula unit: 0.58

Unit cell a=4.814 b=4.814 c=4.980 alpha=90.00 beta=90.00 gamma=90.00
Element x y z (fractional)
S 0.000 0.000 0.500
P 0.000 0.500 0.000
P 0.500 0.000 0.000
Tl 0.500 0.500 0.500
As 0.000 0.000 0.000

***

## two
Here is a geometry-optimized TlAsP2S structure from Alexandria via LeMat-Bulk. Energies are from PBE.

Computed properties:
Fermi-level density of states, states/eV/cell: 5.4
M_tot, μB per formula unit: 0.16

Unit cell a=5.099 b=5.099 c=4.998 alpha=90.00 beta=90.00 gamma=90.00
Element x y z (fractional)
S 0.000 0.000 0.500
P 0.000 0.500 0.000
P 0.500 0.000 0.000
Tl 0.000 0.000 0.000
As 0.500 0.500 0.500

***

It is one that is most stable; the runner-up trails by 0.823 eV/atom.